This record from Alexandria via LeMat-Bulk describes an optimized crystal structure of Dy2CrO5. The functional is PBE with a Hubbard U.

Lattice parameters (Å, degrees): 9.457 6.977 6.830 90.00 98.42 90.00
Space group P2_1/c (No. 14)
One atom of each set of equivalent atoms:
Dy (0.034, 0.117, 0.231) [4 per cell]
Dy (0.345, 0.145, 0.982) [4 per cell]
Cr (0.299, 0.607, 0.985) [4 per cell]
O (0.104, 0.120, 0.917) [4 per cell]
O (0.106, 0.642, 0.961) [4 per cell]
O (0.279, 0.075, 0.283) [4 per cell]
O (0.359, 0.073, 0.662) [4 per cell]
O (0.405, 0.684, 0.491) [4 per cell]

Calculated values
- crystal system = monoclinic
- total DFT energy (no corrections) (eV/atom) = -8.0322